# AlPPt GGA-PBE optimized geometry
# - Formation enthalpy at 0 K: -583.3 meV/atom
# - Crystal system: cubic
data_AlPPt
_chemical_formula_sum 'Al4 P4 Pt4'
_space_group_name_H-M_alt 'F -4 3 m'
_space_group_IT_number 216
_space_group_name_Hall 'F -4 2 3'
_cell_length_a 5.8564
_cell_length_b 5.8564
_cell_length_c 5.8564
_cell_angle_alpha 90.00
_cell_angle_beta 90.00
_cell_angle_gamma 90.00
loop_
_atom_site_label
_atom_site_type_symbol
_atom_site_fract_x
_atom_site_fract_y
_atom_site_fract_z
_atom_site_occupancy
Al1 Al 0.0000 0.0000 0.0000 1
P1 P 0.0000 0.0000 0.5000 1
Pt1 Pt 0.2500 0.2500 0.7500 1